# 1
! ZrBeSi GGA-PBE relaxed; values from VASP
! Energy above the lowest structure with this stoichiometry ... 0.87 eV/f.u.
! V ... 14.28 A^3/atom
! Space group ... No. 63
&SYSTEM
  ibrav = 0, nat = 6, ntyp = 3
/
ATOMIC_SPECIES
Zr 91.22 Zr.upf
Be 9.01 Be.upf
Si 28.09 Si.upf
CELL_PARAMETERS angstrom
1.814 -4.557 0.000
1.814 4.557 0.000
0.000 0.000 5.183
ATOMIC_POSITIONS angstrom
Zr 1.814 2.658 3.887
Zr 1.814 -2.658 1.296
Be 1.814 3.811 1.296
Be 1.814 -3.811 3.887
Si 1.814 0.000 0.000
Si 1.814 0.000 2.591


# 2
! RbNdO2 GGA-PBE relaxed; values from VASP
! V ... 21.88 A^3/atom
! Space group ... No. 57
! DFT total energy ... -101.1 eV per cell
&SYSTEM
  ibrav = 0, nat = 16, ntyp = 3
/
ATOMIC_SPECIES
Rb 85.47 Rb.upf
Nd 144.24 Nd.upf
O 16.00 O.upf
CELL_PARAMETERS angstrom
7.223 0.000 0.000
0.000 7.371 0.000
0.000 0.000 6.575
ATOMIC_POSITIONS angstrom
Rb 0.963 0.751 1.644
Rb 0.963 2.934 4.931
Rb 6.260 4.436 1.644
Rb 6.260 6.620 4.931
Nd 2.570 4.830 1.644
Nd 2.570 6.226 4.931
Nd 4.654 1.145 1.644
Nd 4.654 2.540 4.931
O 1.204 5.528 0.000
O 1.204 5.528 3.287
O 3.009 1.056 4.931
O 3.009 2.629 1.644
O 4.215 4.742 4.931
O 4.215 6.314 1.644
O 6.019 1.843 0.000
O 6.019 1.843 3.287


# 3
! AlPW4C2 GGA-PBE relaxed; values from VASP
! V ... 13.19 A^3/atom
! Space group ... No. 187
! DFT total energy ... -79.0 eV per cell
&SYSTEM
  ibrav = 0, nat = 8, ntyp = 4
/
ATOMIC_SPECIES
Al 26.98 Al.upf
P 30.97 P.upf
W 183.84 W.upf
C 12.01 C.upf
CELL_PARAMETERS angstrom
3.098 0.000 0.000
-1.549 2.683 0.000
0.000 0.000 12.699
ATOMIC_POSITIONS angstrom
Al 0.000 0.000 0.000
P 1.549 0.894 6.350
W 0.000 0.000 4.554
W 0.000 0.000 8.145
W 1.549 0.894 2.190
W 1.549 0.894 10.509
C 0.000 1.789 3.324
C 0.000 1.789 9.376


# 4
! SmHo3Sb4 GGA-PBE relaxed; values from VASP
! V ... 29.95 A^3/atom
! Space group ... No. 221
! DFT total energy ... -43.9 eV per cell
&SYSTEM
  ibrav = 0, nat = 8, ntyp = 3
/
ATOMIC_SPECIES
Sm 150.36 Sm.upf
Ho 164.93 Ho.upf
Sb 121.76 Sb.upf
CELL_PARAMETERS angstrom
6.211 0.000 0.000
0.000 6.211 0.000
0.000 0.000 6.211
ATOMIC_POSITIONS angstrom
Sm 0.000 0.000 0.000
Ho 0.000 3.105 3.105
Ho 3.105 0.000 3.105
Ho 3.105 3.105 0.000
Sb 0.000 0.000 3.105
Sb 0.000 3.105 0.000
Sb 3.105 0.000 0.000
Sb 3.105 3.105 3.105


# 5
! K2InIrO6 GGA-PBE relaxed; values from VASP
! V ... 13.20 A^3/atom
! Space group ... No. 225
! DFT total energy ... -54.5 eV per cell
&SYSTEM
  ibrav = 0, nat = 10, ntyp = 4
/
ATOMIC_SPECIES
K 39.10 K.upf
In 114.82 In.upf
Ir 192.22 Ir.upf
O 16.00 O.upf
CELL_PARAMETERS angstrom
0.000 4.041 4.041
4.041 0.000 4.041
4.041 4.041 0.000
ATOMIC_POSITIONS angstrom
K 2.021 2.021 2.021
K 6.062 6.062 6.062
In 0.000 0.000 0.000
Ir 4.041 4.041 4.041
O 4.041 4.041 2.131
O 4.041 2.131 4.041
O 5.951 4.041 4.041
O 2.131 4.041 4.041
O 4.041 5.951 4.041
O 4.041 4.041 5.951


# 6
! LaSiNi2 GGA-PBE relaxed; values from VASP
! V ... 17.28 A^3/atom
! Space group ... No. 63
! DFT total energy ... -48.2 eV per cell
&SYSTEM
  ibrav = 0, nat = 8, ntyp = 3
/
ATOMIC_SPECIES
La 138.91 La.upf
Si 28.09 Si.upf
Ni 58.69 Ni.upf
CELL_PARAMETERS angstrom
2.019 -8.526 0.000
2.019 8.526 0.000
0.000 0.000 4.013
ATOMIC_POSITIONS angstrom
La 2.019 6.766 3.010
La 2.019 -6.766 1.003
Si 2.019 3.092 3.010
Si 2.019 -3.092 1.003
Ni 2.019 4.285 1.003
Ni 2.019 0.699 3.010
Ni 2.019 -0.699 1.003
Ni 2.019 -4.285 3.010


# 7
! Dy3Zn3NiPt2 GGA-PBE relaxed; values from VASP
! V ... 19.09 A^3/atom
! Space group ... No. 189
! DFT total energy ... -42.6 eV per cell
&SYSTEM
  ibrav = 0, nat = 9, ntyp = 4
/
ATOMIC_SPECIES
Dy 162.50 Dy.upf
Zn 65.41 Zn.upf
Ni 58.69 Ni.upf
Pt 195.08 Pt.upf
CELL_PARAMETERS angstrom
7.208 0.000 0.000
-3.604 6.242 0.000
0.000 0.000 3.818
ATOMIC_POSITIONS angstrom
Dy -2.153 3.729 0.000
Dy 1.451 2.514 0.000
Dy 4.305 0.000 0.000
Zn -0.849 1.471 1.909
Zn 1.699 0.000 1.909
Zn 2.755 4.771 1.909
Ni 0.000 0.000 0.000
Pt 0.000 4.162 1.909
Pt 3.604 2.081 1.909


# 8
! Dy3Ga8Ir3 GGA-PBE relaxed; values from VASP
! V ... 18.21 A^3/atom
! Space group ... No. 71
! DFT total energy ... -73.9 eV per cell
&SYSTEM
  ibrav = 0, nat = 14, ntyp = 3
/
ATOMIC_SPECIES
Dy 162.50 Dy.upf
Ga 69.72 Ga.upf
Ir 192.22 Ir.upf
CELL_PARAMETERS angstrom
-2.106 4.902 6.174
2.106 -4.902 6.174
2.106 4.902 -6.174
ATOMIC_POSITIONS angstrom
Dy 0.000 0.000 0.000
Dy 0.000 0.000 4.061
Dy 0.000 0.000 8.287
Ga 2.106 -1.266 2.088
Ga 2.106 -2.124 4.647
Ga 2.106 1.266 2.088
Ga 0.000 2.777 1.527
Ga 2.106 2.124 4.647
Ga 0.000 3.636 4.086
Ga 0.000 7.026 1.527
Ga 0.000 6.167 4.086
Ir 2.106 2.755 0.000
Ir 0.000 4.902 0.000
Ir 0.000 2.147 6.174


# 9
! FeBIrW GGA-PBE relaxed; values from VASP
! Energy above the lowest structure with this stoichiometry ... 0.00 eV/f.u.
! V ... 12.58 A^3/atom
! Space group ... No. 216
&SYSTEM
  ibrav = 0, nat = 4, ntyp = 4
/
ATOMIC_SPECIES
Fe 55.84 Fe.upf
B 10.81 B.upf
Ir 192.22 Ir.upf
W 183.84 W.upf
CELL_PARAMETERS angstrom
0.000 2.930 2.930
2.930 0.000 2.930
2.930 2.930 0.000
ATOMIC_POSITIONS angstrom
Fe 0.000 0.000 0.000
B 4.395 4.395 4.395
Ir 2.930 2.930 2.930
W 1.465 1.465 1.465


# 10
! TlSnTe3Au GGA-PBE relaxed; values from VASP
! Energy above the lowest structure with this stoichiometry ... 0.07 eV/f.u.
! V ... 30.76 A^3/atom
! Space group ... No. 12
&SYSTEM
  ibrav = 0, nat = 12, ntyp = 4
/
ATOMIC_SPECIES
Tl 204.38 Tl.upf
Sn 118.71 Sn.upf
Te 127.60 Te.upf
Au 196.97 Au.upf
CELL_PARAMETERS angstrom
9.110 -2.138 0.000
9.110 2.138 0.000
-2.468 0.000 9.476
ATOMIC_POSITIONS angstrom
Tl 2.428 0.000 0.668
Tl 13.324 0.000 8.808
Sn 1.724 0.000 5.562
Sn 14.028 0.000 3.914
Te -1.234 0.000 4.738
Te 5.690 0.000 1.876
Te 4.727 0.000 6.155
Te 9.110 0.000 0.000
Te 11.025 0.000 3.321
Te 10.062 0.000 7.600
Au 8.290 0.000 2.746
Au 7.462 0.000 6.729


# 11
! K3TbCl6 GGA-PBE relaxed; values from VASP
! V ... 31.62 A^3/atom
! Space group ... No. 14
! DFT total energy ... -80.7 eV per cell
&SYSTEM
  ibrav = 0, nat = 20, ntyp = 3
/
ATOMIC_SPECIES
K 39.10 K.upf
Tb 158.93 Tb.upf
Cl 35.45 Cl.upf
CELL_PARAMETERS angstrom
7.473 0.000 0.000
0.000 7.918 0.000
-7.260 0.000 10.688
ATOMIC_POSITIONS angstrom
K 0.000 0.000 0.000
K -3.630 3.959 5.344
K -3.789 0.570 7.934
K -0.159 3.389 2.590
K 0.371 4.528 8.097
K 4.001 7.348 2.754
Tb 0.106 0.000 5.344
Tb 3.736 3.959 0.000
Cl -2.036 1.440 4.728
Cl -5.666 2.518 10.072
Cl -1.179 5.726 4.510
Cl -4.809 6.150 9.854
Cl 1.039 0.457 2.896
Cl -2.591 3.502 8.240
Cl 2.804 4.415 2.448
Cl -0.826 7.461 7.792
Cl 5.021 1.768 0.834
Cl 1.391 2.191 6.177
Cl 5.878 5.399 0.615
Cl 2.248 6.477 5.959


# 12
! SrThAu GGA-PBE relaxed; values from VASP
! Energy above the lowest structure with this stoichiometry ... 0.00 eV/f.u.
! V ... 33.38 A^3/atom
! Space group ... No. 216
&SYSTEM
  ibrav = 0, nat = 3, ntyp = 3
/
ATOMIC_SPECIES
Sr 87.62 Sr.upf
Th 232.04 Th.upf
Au 196.97 Au.upf
CELL_PARAMETERS angstrom
0.000 3.686 3.686
3.686 0.000 3.686
3.686 3.686 0.000
ATOMIC_POSITIONS angstrom
Sr 0.000 0.000 0.000
Th 3.686 3.686 3.686
Au 1.843 1.843 1.843


# 13
! NaTmPtS3 GGA-PBE relaxed; values from VASP
! V ... 21.82 A^3/atom
! Space group ... No. 63
! DFT total energy ... -61.8 eV per cell
&SYSTEM
  ibrav = 0, nat = 12, ntyp = 4
/
ATOMIC_SPECIES
Na 22.99 Na.upf
Tm 168.93 Tm.upf
Pt 195.08 Pt.upf
S 32.06 S.upf
CELL_PARAMETERS angstrom
1.906 -6.895 0.000
1.906 6.895 0.000
0.000 0.000 9.959
ATOMIC_POSITIONS angstrom
Na 1.906 3.647 7.469
Na 1.906 -3.647 2.490
Tm 0.000 0.000 0.000
Tm 0.000 0.000 4.979
Pt 1.906 0.085 2.490
Pt 1.906 -0.085 7.469
S 1.906 5.552 2.490
S 1.906 1.764 0.785
S 1.906 1.764 4.194
S 1.906 -1.764 5.765
S 1.906 -1.764 9.173
S 1.906 -5.552 7.469


# 14
! Tb2GdCo2B2N3 GGA-PBE relaxed; values from VASP
! V ... 12.20 A^3/atom
! Space group ... No. 139
! DFT total energy ... -78.4 eV per cell
&SYSTEM
  ibrav = 0, nat = 10, ntyp = 5
/
ATOMIC_SPECIES
Tb 158.93 Tb.upf
Gd 157.25 Gd.upf
Co 58.93 Co.upf
B 10.81 B.upf
N 14.01 N.upf
CELL_PARAMETERS angstrom
-1.748 1.748 9.975
1.748 -1.748 9.975
1.748 1.748 -9.975
ATOMIC_POSITIONS angstrom
Tb 0.000 0.000 2.494
Tb 0.000 0.000 17.456
Gd 0.000 0.000 9.975
Co 1.748 0.000 4.988
Co 0.000 1.748 4.988
B 0.000 0.000 6.093
B 0.000 0.000 13.857
N 0.000 0.000 0.000
N 0.000 0.000 7.596
N 0.000 0.000 12.354


# 15
! TaTlTcNi GGA-PBE relaxed; values from VASP
! Energy above the lowest structure with this stoichiometry ... 0.00 eV/f.u.
! V ... 16.34 A^3/atom
! Space group ... No. 216
&SYSTEM
  ibrav = 0, nat = 4, ntyp = 4
/
ATOMIC_SPECIES
Ta 180.95 Ta.upf
Tl 204.38 Tl.upf
Tc 98.00 Tc.upf
Ni 58.69 Ni.upf
CELL_PARAMETERS angstrom
0.000 3.197 3.197
3.197 0.000 3.197
3.197 3.197 0.000
ATOMIC_POSITIONS angstrom
Ta 0.000 0.000 0.000
Tl 3.197 3.197 3.197
Tc 1.599 1.599 1.599
Ni 4.796 4.796 4.796


# 16
! LaBe2Au2 GGA-PBE relaxed; values from VASP
! V ... 18.14 A^3/atom
! Space group ... No. 139
! DFT total energy ... -21.2 eV per cell
&SYSTEM
  ibrav = 0, nat = 5, ntyp = 3
/
ATOMIC_SPECIES
La 138.91 La.upf
Be 9.01 Be.upf
Au 196.97 Au.upf
CELL_PARAMETERS angstrom
-2.132 2.132 4.986
2.132 -2.132 4.986
2.132 2.132 -4.986
ATOMIC_POSITIONS angstrom
La 0.000 0.000 0.000
Be 2.132 0.000 2.493
Be 0.000 2.132 2.493
Au 0.000 0.000 3.551
Au 0.000 0.000 6.421


# 17
! ScBeReTe GGA-PBE relaxed; values from VASP
! Energy above the lowest structure with this stoichiometry ... 0.00 eV/f.u.
! V ... 16.49 A^3/atom
! Space group ... No. 216
&SYSTEM
  ibrav = 0, nat = 4, ntyp = 4
/
ATOMIC_SPECIES
Sc 44.96 Sc.upf
Be 9.01 Be.upf
Re 186.21 Re.upf
Te 127.60 Te.upf
CELL_PARAMETERS angstrom
0.000 3.207 3.207
3.207 0.000 3.207
3.207 3.207 0.000
ATOMIC_POSITIONS angstrom
Sc 0.000 0.000 0.000
Be 4.810 4.810 4.810
Re 3.207 3.207 3.207
Te 1.603 1.603 1.603


# 18
! Sr2TcH6Au GGA-PBE relaxed; values from VASP
! V ... 11.58 A^3/atom
! Space group ... No. 225
! DFT total energy ... -40.1 eV per cell
&SYSTEM
  ibrav = 0, nat = 10, ntyp = 4
/
ATOMIC_SPECIES
Sr 87.62 Sr.upf
Tc 98.00 Tc.upf
H 1.01 H.upf
Au 196.97 Au.upf
CELL_PARAMETERS angstrom
0.000 3.869 3.869
3.869 0.000 3.869
3.869 3.869 0.000
ATOMIC_POSITIONS angstrom
Sr 1.935 1.935 1.935
Sr 5.804 5.804 5.804
Tc 0.000 0.000 0.000
H 3.869 3.869 1.833
H 3.869 1.833 3.869
H 5.905 3.869 3.869
H 1.833 3.869 3.869
H 3.869 5.905 3.869
H 3.869 3.869 5.905
Au 3.869 3.869 3.869


# 19
! Li5OsSe5 GGA-PBE relaxed; values from VASP
! V ... 20.37 A^3/atom
! Space group ... No. 12
! DFT total energy ... -45.5 eV per cell
&SYSTEM
  ibrav = 0, nat = 11, ntyp = 3
/
ATOMIC_SPECIES
Li 6.94 Li.upf
Os 190.23 Os.upf
Se 78.96 Se.upf
CELL_PARAMETERS angstrom
6.555 -2.340 0.000
6.555 2.340 0.000
-2.197 0.000 7.304
ATOMIC_POSITIONS angstrom
Li 0.000 0.000 0.000
Li 2.266 0.000 4.677
Li 3.462 0.000 1.039
Li 7.453 0.000 6.265
Li 8.648 0.000 2.626
Os -1.098 0.000 3.652
Se 1.152 0.000 2.350
Se 0.060 0.000 5.991
Se 5.457 0.000 3.652
Se 10.854 0.000 1.313
Se 9.762 0.000 4.954


# 20
! PrYSc2Sb2 GGA-PBE relaxed; values from VASP
! V ... 26.80 A^3/atom
! Space group ... No. 107
! DFT total energy ... -37.3 eV per cell
&SYSTEM
  ibrav = 0, nat = 6, ntyp = 4
/
ATOMIC_SPECIES
Pr 140.91 Pr.upf
Y 88.91 Y.upf
Sc 44.96 Sc.upf
Sb 121.76 Sb.upf
CELL_PARAMETERS angstrom
-2.208 2.208 8.241
2.208 -2.208 8.241
2.208 2.208 -8.241
ATOMIC_POSITIONS angstrom
Pr 0.000 0.000 0.000
Y 0.000 0.000 5.797
Sc 2.208 0.000 2.925
Sc 0.000 2.208 2.925
Sb 0.000 0.000 9.046
Sb 0.000 0.000 13.257